Cs3Mn5F12 after structural relaxation. Source: Alexandria via LeMat-Bulk, functional GGA+U.

Computed properties:
* Fermi-level density of states: 10.9 states/eV per cell
* VASP energy: -5.635 eV/atom

a = 12.6218 Å, b = 12.6218 Å, c = 12.6218 Å
α = 109.47°, β = 109.47°, γ = 109.47°
Closest atoms and distances in Å follow each position.
Element x y z (fractional)
Cs: 0.1250 0.2500 0.3750  8 F 2.93-3.15
Cs: 0.1250 0.3750 0.7500  8 F 2.93-3.15
Cs: 0.2500 0.3750 0.1250  8 F 2.93-3.15
Cs: 0.2500 0.8750 0.6250  8 F 2.93-3.15
Cs: 0.3750 0.1250 0.2500  8 F 2.93-3.15
Cs: 0.3750 0.7500 0.1250  8 F 2.93-3.15
Cs: 0.6250 0.2500 0.8750  8 F 2.93-3.15
Cs: 0.6250 0.8750 0.7500  8 F 2.93-3.15
Cs: 0.7500 0.1250 0.3750  8 F 2.93-3.15
Cs: 0.7500 0.6250 0.8750  8 F 2.93-3.15
Cs: 0.8750 0.6250 0.2500  8 F 2.93-3.15
Cs: 0.8750 0.7500 0.6250  8 F 2.93-3.15
Mn: 0.0000 0.0000 0.0000  6 F 2.21
Mn: 0.0000 0.0000 0.5000  6 F 2.21
Mn: 0.0000 0.5000 0.0000  6 F 2.21
Mn: 0.0000 0.5000 0.5000  6 F 2.21
Mn: 0.1250 0.7500 0.8750  4 F 2.09
Mn: 0.1250 0.8750 0.2500  4 F 2.09
Mn: 0.2500 0.1250 0.8750  4 F 2.09
Mn: 0.2500 0.6250 0.3750  4 F 2.09
Mn: 0.3750 0.2500 0.6250  4 F 2.09
Mn: 0.3750 0.6250 0.7500  4 F 2.09
Mn: 0.5000 0.0000 0.0000  6 F 2.21
Mn: 0.5000 0.0000 0.5000  6 F 2.21
Mn: 0.5000 0.5000 0.0000  6 F 2.21
Mn: 0.5000 0.5000 0.5000  6 F 2.21
Mn: 0.6250 0.3750 0.2500  4 F 2.09
Mn: 0.6250 0.7500 0.3750  4 F 2.09
Mn: 0.7500 0.3750 0.6250  4 F 2.09
Mn: 0.7500 0.8750 0.1250  4 F 2.09
Mn: 0.8750 0.1250 0.7500  4 F 2.09
Mn: 0.8750 0.2500 0.1250  4 F 2.09
F: 0.0020 0.6812 0.1032  2 Mn 2.09-2.21
F: 0.0020 0.8208 0.8989  2 Mn 2.09-2.21
F: 0.0781 0.6792 0.6812  2 Mn 2.09-2.21
F: 0.0781 0.8989 0.3968  2 Mn 2.09-2.21
F: 0.1011 0.6032 0.9219  2 Mn 2.09-2.21
F: 0.1011 0.9980 0.1792  2 Mn 2.09-2.21
F: 0.1032 0.0020 0.6812  2 Mn 2.09-2.21
F: 0.1032 0.6011 0.4219  2 Mn 2.09-2.21
F: 0.1792 0.1011 0.9980  2 Mn 2.09-2.21
F: 0.1792 0.5781 0.1812  2 Mn 2.09-2.21
F: 0.1812 0.1792 0.5781  2 Mn 2.09-2.21
F: 0.1812 0.5020 0.6032  2 Mn 2.09-2.21
F: 0.3188 0.8968 0.9980  2 Mn 2.09-2.21
F: 0.3188 0.9219 0.3208  2 Mn 2.09-2.21
F: 0.3208 0.3188 0.9219  2 Mn 2.09-2.21
F: 0.3208 0.5020 0.3989  2 Mn 2.09-2.21
F: 0.3968 0.0781 0.8989  2 Mn 2.09-2.21
F: 0.3968 0.8188 0.4980  2 Mn 2.09-2.21
F: 0.3989 0.3208 0.5020  2 Mn 2.09-2.21
F: 0.3989 0.5781 0.8968  2 Mn 2.09-2.21
F: 0.4219 0.1032 0.6011  2 Mn 2.09-2.21
F: 0.4219 0.8188 0.8208  2 Mn 2.09-2.21
F: 0.4980 0.3968 0.8188  2 Mn 2.09-2.21
F: 0.4980 0.6011 0.6792  2 Mn 2.09-2.21
F: 0.5020 0.3989 0.3208  2 Mn 2.09-2.21
F: 0.5020 0.6032 0.1812  2 Mn 2.09-2.21
F: 0.5781 0.1812 0.1792  2 Mn 2.09-2.21
F: 0.5781 0.8968 0.3989  2 Mn 2.09-2.21
F: 0.6011 0.4219 0.1032  2 Mn 2.09-2.21
F: 0.6011 0.6792 0.4980  2 Mn 2.09-2.21
F: 0.6032 0.1812 0.5020  2 Mn 2.09-2.21
F: 0.6032 0.9219 0.1011  2 Mn 2.09-2.21
F: 0.6792 0.4980 0.6011  2 Mn 2.09-2.21
F: 0.6792 0.6812 0.0781  2 Mn 2.09-2.21
F: 0.6812 0.0781 0.6792  2 Mn 2.09-2.21
F: 0.6812 0.1032 0.0020  2 Mn 2.09-2.21
F: 0.8188 0.4980 0.3968  2 Mn 2.09-2.21
F: 0.8188 0.8208 0.4219  2 Mn 2.09-2.21
F: 0.8208 0.4219 0.8188  2 Mn 2.09-2.21
F: 0.8208 0.8989 0.0020  2 Mn 2.09-2.21
F: 0.8968 0.3989 0.5781  2 Mn 2.09-2.21
F: 0.8968 0.9980 0.3188  2 Mn 2.09-2.21
F: 0.8989 0.0020 0.8208  2 Mn 2.09-2.21
F: 0.8989 0.3968 0.0781  2 Mn 2.09-2.21
F: 0.9219 0.1011 0.6032  2 Mn 2.09-2.21
F: 0.9219 0.3208 0.3188  2 Mn 2.09-2.21
F: 0.9980 0.1792 0.1011  2 Mn 2.09-2.21
F: 0.9980 0.3188 0.8968  2 Mn 2.09-2.21